{"formula": "NaMnRh2O5", "functional": "PBE with a Hubbard U", "state": "optimized geometry", "lattice": [[-1.8247, 2.6792, 5.6258], [1.8247, -2.6792, 5.6258], [1.8247, 2.6792, -5.6258]], "species": ["Na", "Mn", "Rh", "Rh", "O", "O", "O", "O", "O"], "fractional_positions": [[0.0000, 0.0000, 0.0000], [0.5000, 0.5000, 0.0000], [0.3075, 0.8075, 0.5000], [0.6925, 0.1925, 0.5000], [0.1079, 0.3372, 0.7706], [0.4334, 0.6628, 0.7706], [0.5000, 0.0000, 0.5000], [0.5666, 0.3372, 0.2294], [0.8921, 0.6628, 0.2294]], "spacegroup": "Immm", "vol_a3_per_cell": 110.0, "final_energy_ev_per_atom": -5.991}